1.
GaFe2ReN: relaxed, PBE.

POSCAR file:
```
GaFe2ReN
1.0
-2.415 1.885 2.318
-1.852 -3.283 0.741
2.441 -0.678 3.095
Re Fe Ga N
1 2 1 1
Cartesian
1.221 -0.339 1.548 Re
-0.926 -1.642 0.371 Fe
-1.207 0.943 1.159 Fe
-0.912 -1.038 3.077 Ga
0.000 0.000 0.000 N
```

Computed properties:
N(E_F): 3.3 states/eV/f.u.
Uncorrected formation energy: -0.13 eV/f.u.
Magnetization: 3.402 μB per formula unit

=====

2.
GaFe2RuN: relaxed, PBE.

POSCAR file:
```
GaFe2RuN
1.0
-1.107 2.707 -2.400
2.222 -1.472 -2.686
-3.071 -2.361 -1.246
Ru Fe Ga N
1 2 1 1
Cartesian
-1.535 -1.180 -0.623 Ru
1.111 -0.736 -1.343 Fe
-0.554 1.354 -1.200 Fe
-0.978 -0.562 -3.166 Ga
0.000 0.000 0.000 N
```

Computed properties:
N(E_F): 5.5 states/eV/f.u.
Uncorrected formation energy: -0.43 eV/f.u.
Magnetization: 3.243 μB per formula unit

=====

3.
GaFeS2N: relaxed, PBE.

POSCAR file:
```
GaFeS2N
1.0
-1.815 2.786 3.469
-3.687 1.154 -2.856
-1.779 -2.674 1.216
S Fe Ga N
2 1 1 1
Cartesian
-1.844 0.577 -1.428 S
-0.907 1.393 1.734 S
0.000 0.000 0.000 Fe
-3.641 0.633 0.914 Ga
-0.890 -1.337 0.608 N
```

Computed properties:
N(E_F): 7.4 states/eV/f.u.
Energy above the lowest structure with this stoichiometry: 0 meV/atom
Uncorrected formation energy: 1.41 eV/f.u.
Magnetization: 0.000 μB per formula unit

=====

4.
GaFeSN2: relaxed, PBE.

POSCAR file:
```
GaFeSN2
1.0
3.580 0.000 0.000
0.000 3.580 0.000
0.000 0.000 5.064
S Fe Ga N
1 1 1 2
Cartesian
0.000 0.000 2.532 S
0.000 0.000 0.000 Fe
1.790 1.790 2.532 Ga
0.000 1.790 0.000 N
1.790 0.000 0.000 N
```

Computed properties:
N(E_F): 2.5 states/eV/f.u.
Energy above the lowest structure with this stoichiometry: 0 meV/atom
Uncorrected formation energy: 3.12 eV/f.u.
Magnetization: 0.000 μB per formula unit

=====

5.
GaFeSN2: relaxed, PBE.

POSCAR file:
```
GaFeSN2
1.0
3.730 0.000 0.000
0.000 3.730 0.000
0.000 0.000 5.355
S Fe Ga N
1 1 1 2
Cartesian
0.000 0.000 2.677 S
1.865 1.865 2.677 Fe
0.000 0.000 0.000 Ga
0.000 1.865 0.000 N
1.865 0.000 0.000 N
```

Computed properties:
N(E_F): 5.1 states/eV/f.u.
Energy above the lowest structure with this stoichiometry: 672 meV/atom
Uncorrected formation energy: 6.48 eV/f.u.
Magnetization: 6.015 μB per formula unit

=====

6.
GaFeSN2: relaxed, PBE.

POSCAR file:
```
GaFeSN2
1.0
3.515 0.000 0.000
0.000 8.109 0.000
0.000 0.000 3.515
S Fe Ga N
1 1 1 2
Cartesian
1.757 4.054 1.757 S
0.000 0.000 0.000 Fe
0.000 4.054 0.000 Ga
0.000 0.000 1.757 N
1.757 0.000 0.000 N
```

Computed properties:
N(E_F): 3.3 states/eV/f.u.
Energy above the lowest structure with this stoichiometry: 62 meV/atom
Uncorrected formation energy: 3.43 eV/f.u.
Magnetization: 0.052 μB per formula unit

=====

- Among the records above, which one has the lowest N(E_F)?
  number 4